# 1
This record from Alexandria describes Sm4Cu2Pt after structural relaxation. The functional is PBE-GGA.

The formation energy is -0.305 eV per atom. The crystal system is monoclinic. The density of states at the Fermi level is 13.1 states/eV/cell. The calculation puts the raw total energy at -70.49 eV/cell.

Lattice parameters (Å, degrees): 7.870 7.871 7.879 109.41 109.39 109.69
Positions (direct):
Sm (0.314, 0.505, 0.191)
Sm (0.755, 0.064, 0.691)
Sm (0.936, 0.627, 0.692)
Sm (0.373, 0.064, 0.308)
Sm (0.877, 0.686, 0.191)
Sm (0.495, 0.686, 0.809)
Sm (0.936, 0.244, 0.309)
Sm (0.314, 0.123, 0.808)
Cu (0.125, 0.375, 0.750)
Cu (0.625, 0.875, 0.250)
Cu (0.625, 0.375, 0.750)
Cu (0.625, 0.375, 0.250)
Pt (0.249, 0.749, 0.500)
Pt (0.001, 0.001, 0.000)


# 2
This record from Alexandria describes Ti2Mn2AlFe5 after structural relaxation. The functional is PBE-GGA.

The formation energy is -0.033 eV per atom. The crystal system is tetragonal. The density of states at the Fermi level is 22.9 states/eV/cell. The calculation puts the raw total energy at -161.04 eV/cell.

Lattice parameters (Å, degrees): 3.809 8.161 8.161 90.00 90.00 90.00
Each line ends with the local moment (μB).
Positions (direct):
Mn (0.000, 0.117, 0.617)  -1.56
Mn (0.000, 0.617, 0.883)  -1.56
Mn (0.000, 0.883, 0.383)  -1.56
Mn (0.000, 0.383, 0.117)  -1.56
Fe (0.500, 0.500, 0.000)  -1.06
Fe (0.500, 0.065, 0.797)  1.70
Fe (0.500, 0.935, 0.203)  1.70
Fe (0.500, 0.797, 0.935)  1.70
Fe (0.500, 0.565, 0.703)  1.70
Fe (0.500, 0.435, 0.297)  1.70
Fe (0.500, 0.203, 0.065)  1.70
Fe (0.500, 0.703, 0.435)  1.70
Fe (0.500, 0.297, 0.565)  1.70
Fe (0.500, 0.000, 0.500)  -1.06
Al (0.000, 0.000, 0.000)  -0.04
Al (0.000, 0.500, 0.500)  -0.04
Ti (0.000, 0.679, 0.179)  -0.18
Ti (0.000, 0.821, 0.679)  -0.18
Ti (0.000, 0.321, 0.821)  -0.18
Ti (0.000, 0.179, 0.321)  -0.18


# 3
This record from Alexandria describes NdY2SnN after structural relaxation. The functional is PBE-GGA.

The crystal system is tetragonal. The density of states at the Fermi level is 2.2 states/eV/cell. The calculation puts the raw total energy at -35.17 eV/cell. The value obtained for the raw formation energy is -1.028 eV/atom.

Lattice parameters (Å, degrees): 5.020 4.815 4.815 90.00 90.00 90.00
Positions (direct):
Sn (0.500, 0.500, 0.500)
N (0.000, 0.000, 0.000)
Nd (0.500, 0.000, 0.000)
Y (0.000, 0.500, 0.000)
Y (0.000, 0.000, 0.500)


# 4
This record from Alexandria describes K2ReNi after structural relaxation. The functional is PBE-GGA.

The formation energy is 0.764 eV per atom. The crystal system is orthorhombic. The density of states at the Fermi level is 3.4 states/eV/cell. The calculation puts the raw total energy at -17.37 eV/cell.

Lattice parameters (Å, degrees): 2.756 3.870 10.302 90.00 90.00 90.00
Positions (direct):
K (0.000, 0.000, 0.913)
K (0.500, 0.500, 0.344)
Ni (0.000, 0.000, 0.584)
Re (0.500, 0.500, 0.659)


# 5
This record from Alexandria describes HfCo2HIr after structural relaxation. The functional is PBE-GGA.

The crystal system is tetragonal. The density of states at the Fermi level is 2.5 states/eV/cell. The calculation puts the raw total energy at -38.36 eV/cell.

Lattice parameters (Å, degrees): 3.839 3.839 3.852 90.00 90.00 90.00
Positions (direct):
Co (0.000, 0.500, 0.000)
Co (0.500, 0.000, 0.000)
H (0.000, 0.000, 0.000)
Ir (0.000, 0.000, 0.500)
Hf (0.500, 0.500, 0.500)


# 6
This record from Alexandria describes Bi2SbPd2 after structural relaxation. The functional is PBE-GGA.

The crystal system is monoclinic. The density of states at the Fermi level is 8.9 states/eV/cell. The calculation puts the raw total energy at -93.86 eV/cell. The value obtained for the raw formation energy is -0.239 eV/atom.

Lattice parameters (Å, degrees): 6.942 6.847 10.610 90.00 90.76 90.00
Positions (direct):
Sb (0.620, 0.696, 0.664)
Sb (0.380, 0.304, 0.336)
Sb (0.880, 0.196, 0.336)
Sb (0.120, 0.804, 0.664)
Bi (0.978, 0.703, 0.321)
Bi (0.503, 0.249, 0.015)
Bi (0.997, 0.749, 0.985)
Bi (0.522, 0.203, 0.679)
Bi (0.003, 0.251, 0.015)
Bi (0.022, 0.297, 0.679)
Bi (0.478, 0.797, 0.321)
Bi (0.497, 0.751, 0.985)
Pd (0.747, 0.974, 0.149)
Pd (0.811, 0.983, 0.550)
Pd (0.311, 0.517, 0.550)
Pd (0.753, 0.474, 0.851)
Pd (0.253, 0.026, 0.851)
Pd (0.689, 0.483, 0.450)
Pd (0.247, 0.526, 0.149)
Pd (0.189, 0.017, 0.450)


# 7
This record from Alexandria describes SrPrPt2 after structural relaxation. The functional is PBE-GGA.

The formation energy is -0.809 eV per atom. The crystal system is trigonal. The density of states at the Fermi level is 2.2 states/eV/cell. The calculation puts the raw total energy at -21.78 eV/cell.

Lattice parameters (Å, degrees): 4.185 4.185 7.806 74.45 74.45 60.00
Positions (direct):
Sr (0.497, 0.497, 0.509)
Pt (0.256, 0.256, 0.232)
Pt (0.078, 0.078, 0.765)
Pr (0.668, 0.668, 0.995)


# 8
This record from Alexandria describes TlZnF3 after structural relaxation. The functional is PBE-GGA.

The crystal system is monoclinic. The density of states at the Fermi level is 0.0 states/eV/cell. The calculation puts the raw total energy at -39.47 eV/cell. The value obtained for the raw formation energy is -2.096 eV/atom.

Lattice parameters (Å, degrees): 14.254 5.706 5.706 136.97 141.78 38.22
Positions (direct):
Tl (0.632, 0.982, 0.018)
Tl (0.368, 0.018, 0.982)
Zn (0.924, 0.942, 0.058)
Zn (0.076, 0.058, 0.942)
F (0.156, 0.776, 0.224)
F (0.961, 0.371, 0.629)
F (0.039, 0.629, 0.371)
F (0.676, 0.171, 0.829)
F (0.844, 0.224, 0.776)
F (0.324, 0.829, 0.171)


# 9
This record from Alexandria describes Y2ScInRu after structural relaxation. The functional is PBE-GGA.

The formation energy is 1.036 eV per atom. The crystal system is tetragonal. The density of states at the Fermi level is 6.6 states/eV/cell. The calculation puts the raw total energy at -26.09 eV/cell.

Lattice parameters (Å, degrees): 5.548 5.179 5.548 90.00 90.00 90.00
Positions (direct):
Y (0.500, 0.000, 0.000)
Y (0.000, 0.000, 0.500)
In (0.000, 0.000, 0.000)
Sc (0.000, 0.500, 0.000)
Ru (0.500, 0.500, 0.500)


# 10
This record from Alexandria describes Ac3TbSn4 after structural relaxation. The functional is PBE-GGA.

The formation energy is -0.518 eV per atom. The crystal system is orthorhombic. The density of states at the Fermi level is 10.4 states/eV/cell. The calculation puts the raw total energy at -74.22 eV/cell.

Lattice parameters (Å, degrees): 6.620 6.797 12.488 90.00 90.00 90.00
Positions (direct):
Ac (0.564, 0.924, 0.000)
Ac (0.065, 0.699, 0.751)
Ac (0.064, 0.076, 0.500)
Ac (0.065, 0.699, 0.249)
Ac (0.565, 0.301, 0.251)
Ac (0.565, 0.301, 0.749)
Sn (0.565, 0.811, 0.292)
Sn (0.564, 0.445, 0.000)
Sn (0.065, 0.189, 0.208)
Sn (0.064, 0.925, 0.000)
Sn (0.064, 0.555, 0.500)
Sn (0.065, 0.189, 0.792)
Sn (0.564, 0.075, 0.500)
Sn (0.565, 0.811, 0.708)
Tb (0.564, 0.568, 0.500)
Tb (0.064, 0.432, 0.000)


# 11
This record from Alexandria describes Tl12CdPb6 after structural relaxation. The functional is PBE-GGA.

The formation energy is 0.026 eV per atom. The crystal system is trigonal. The density of states at the Fermi level is 9.8 states/eV/cell. The calculation puts the raw total energy at -51.07 eV/cell.

Lattice parameters (Å, degrees): 8.478 8.478 8.478 89.50 89.50 89.50
Positions (direct):
Pb (0.112, 0.739, 0.260)
Pb (0.739, 0.260, 0.112)
Pb (0.260, 0.112, 0.739)
Pb (0.888, 0.261, 0.740)
Pb (0.740, 0.888, 0.261)
Pb (0.261, 0.740, 0.888)
Tl (0.582, 0.187, 0.485)
Tl (0.950, 0.851, 0.626)
Tl (0.149, 0.374, 0.050)
Tl (0.813, 0.515, 0.418)
Tl (0.626, 0.950, 0.851)
Tl (0.374, 0.050, 0.149)
Tl (0.050, 0.149, 0.374)
Tl (0.418, 0.813, 0.515)
Tl (0.485, 0.582, 0.187)
Tl (0.851, 0.626, 0.950)
Tl (0.187, 0.485, 0.582)
Tl (0.515, 0.418, 0.813)
Cd (0.000, 0.000, 0.000)


# 12
This record from Alexandria describes CdRu after structural relaxation. The functional is PBE-GGA.

The formation energy is 1.119 eV per atom. The crystal system is cubic. The density of states at the Fermi level is 1.8 states/eV/cell. The calculation puts the raw total energy at -7.95 eV/cell.

Lattice parameters (Å, degrees): 3.847 3.847 3.847 60.00 60.00 60.00
Each line ends with the local moment (μB).
Positions (direct):
Cd (0.000, 0.000, 0.000)  -0.03
Ru (0.500, 0.500, 0.500)  1.68


Number 1: density 8.17 g/cm³. Number 2: density 6.70 g/cm³. Number 3: density 6.49 g/cm³. Number 4: density 4.88 g/cm³. Number 5: density 14.32 g/cm³. Number 6: density 9.91 g/cm³. Number 7: density 9.12 g/cm³. Number 8: density 6.40 g/cm³. Number 9: density 4.57 g/cm³. Number 10: density 7.77 g/cm³. Number 11: density 10.38 g/cm³. Number 12: density 8.80 g/cm³.